*a*
First-principles (GGA-PBE) data for an optimized crystal structure of Ga2AsPd4, as listed in the Alexandria database.

Cell and atoms, written as CIF:
```
data_Ga2AsPd4
_chemical_formula_sum 'Ga8 As4 Pd16'
_cell_length_a 3.500
_cell_length_b 13.762
_cell_length_c 9.905
_cell_angle_alpha 90.00
_cell_angle_beta 90.00
_cell_angle_gamma 90.00
_space_group_name_H-M_alt 'C m c m'
_space_group_IT_number 63
_space_group_name_Hall '-C 2c 2'
loop_
_atom_site_label
_atom_site_type_symbol
_atom_site_fract_x
_atom_site_fract_y
_atom_site_fract_z
Ga1 Ga 0.000 0.124 0.101
As1 As 0.000 0.348 0.250
Pd1 Pd 0.000 0.022 0.750
Pd2 Pd 0.000 0.234 0.607
Pd3 Pd 0.000 0.500 0.000
```



*b*
First-principles (GGA-PBE) data for an optimized crystal structure of Ga2AsPd4, as listed in the Alexandria database.

Cell and atoms, written as CIF:
```
data_Ga2AsPd4
_chemical_formula_sum 'Ga4 As2 Pd8'
_cell_length_a 4.653
_cell_length_b 4.653
_cell_length_c 12.855
_cell_angle_alpha 90.00
_cell_angle_beta 90.00
_cell_angle_gamma 90.00
_space_group_name_H-M_alt 'I 4/m m m'
_space_group_IT_number 139
_space_group_name_Hall '-I 4 2'
loop_
_atom_site_label
_atom_site_type_symbol
_atom_site_fract_x
_atom_site_fract_y
_atom_site_fract_z
Ga1 Ga 0.000 0.000 0.123
As1 As 0.000 0.000 0.500
Pd1 Pd 0.000 0.000 0.309
Pd2 Pd 0.000 0.500 0.000
```



Most stable structure - *a*; separation to the second - 0.395 eV/atom.



*a*
First-principles (GGA-PBE) data for an optimized crystal structure of Ga3AsPd, as listed in the Alexandria database.

Cell and atoms, written as CIF:
```
data_Ga3AsPd
_chemical_formula_sum 'Ga3 As1 Pd1'
_cell_length_a 4.924
_cell_length_b 4.924
_cell_length_c 4.924
_cell_angle_alpha 90.00
_cell_angle_beta 90.00
_cell_angle_gamma 90.00
_space_group_name_H-M_alt 'P m -3 m'
_space_group_IT_number 221
_space_group_name_Hall '-P 4 2 3'
loop_
_atom_site_label
_atom_site_type_symbol
_atom_site_fract_x
_atom_site_fract_y
_atom_site_fract_z
Ga1 Ga 0.000 0.000 0.500
As1 As 0.000 0.000 0.000
Pd1 Pd 0.500 0.500 0.500
```



*b*
First-principles (GGA-PBE) data for an optimized crystal structure of Ga3AsPd, as listed in the Alexandria database.

Cell and atoms, written as CIF:
```
data_Ga3AsPd
_chemical_formula_sum 'Ga3 As1 Pd1'
_cell_length_a 4.819
_cell_length_b 4.819
_cell_length_c 4.819
_cell_angle_alpha 90.00
_cell_angle_beta 90.00
_cell_angle_gamma 90.00
_space_group_name_H-M_alt 'P m -3 m'
_space_group_IT_number 221
_space_group_name_Hall '-P 4 2 3'
loop_
_atom_site_label
_atom_site_type_symbol
_atom_site_fract_x
_atom_site_fract_y
_atom_site_fract_z
Ga1 Ga 0.000 0.000 0.500
As1 As 0.500 0.500 0.500
Pd1 Pd 0.000 0.000 0.000
```



Most stable structure - *b*; separation to the second - 0.435 eV/atom.



*a*
First-principles (GGA-PBE) data for an optimized crystal structure of GaAsPd5, as listed in the Alexandria database.

Cell and atoms, written as CIF:
```
data_GaAsPd5
_chemical_formula_sum 'Ga4 As4 Pd20'
_cell_length_a 9.710
_cell_length_b 8.435
_cell_length_c 7.657
_cell_angle_alpha 90.00
_cell_angle_beta 127.44
_cell_angle_gamma 90.00
_space_group_name_H-M_alt 'C 1 2/c 1'
_space_group_IT_number 15
_space_group_name_Hall '-C 2yc'
loop_
_atom_site_label
_atom_site_type_symbol
_atom_site_fract_x
_atom_site_fract_y
_atom_site_fract_z
Ga1 Ga 0.000 0.234 0.250
As1 As 0.250 0.250 0.000
Pd1 Pd 0.000 0.064 0.750
Pd2 Pd 0.132 0.494 0.482
Pd3 Pd 0.210 0.187 0.652
```



*b*
First-principles (GGA-PBE) data for an optimized crystal structure of GaAsPd5, as listed in the Alexandria database.

Cell and atoms, written as CIF:
```
data_GaAsPd5
_chemical_formula_sum 'Ga1 As1 Pd5'
_cell_length_a 3.997
_cell_length_b 3.997
_cell_length_c 6.939
_cell_angle_alpha 90.00
_cell_angle_beta 90.00
_cell_angle_gamma 90.00
_space_group_name_H-M_alt 'P 4/m m m'
_space_group_IT_number 123
_space_group_name_Hall '-P 4 2'
loop_
_atom_site_label
_atom_site_type_symbol
_atom_site_fract_x
_atom_site_fract_y
_atom_site_fract_z
Ga1 Ga 0.000 0.000 0.000
As1 As 0.500 0.500 0.500
Pd1 Pd 0.000 0.500 0.280
Pd2 Pd 0.500 0.500 0.000
```



Most stable structure - *b*; separation to the second - 0.300 eV/atom.



*a*
First-principles (GGA-PBE) data for an optimized crystal structure of Pm2GaAs, as listed in the Alexandria database.

Cell and atoms, written as CIF:
```
data_Pm2GaAs
_chemical_formula_sum 'Pm8 Ga4 As4'
_cell_length_a 7.345
_cell_length_b 7.345
_cell_length_c 7.345
_cell_angle_alpha 90.00
_cell_angle_beta 90.00
_cell_angle_gamma 90.00
_space_group_name_H-M_alt 'F m -3 m'
_space_group_IT_number 225
_space_group_name_Hall '-F 4 2 3'
loop_
_atom_site_label
_atom_site_type_symbol
_atom_site_fract_x
_atom_site_fract_y
_atom_site_fract_z
Pm1 Pm 0.250 0.250 0.250
Ga1 Ga 0.000 0.000 0.000
As1 As 0.000 0.000 0.500
```



*b*
First-principles (GGA-PBE) data for an optimized crystal structure of Pm2GaAs, as listed in the Alexandria database.

Cell and atoms, written as CIF:
```
data_Pm2GaAs
_chemical_formula_sum 'Pm8 Ga4 As4'
_cell_length_a 4.311
_cell_length_b 23.808
_cell_length_c 4.197
_cell_angle_alpha 90.00
_cell_angle_beta 90.00
_cell_angle_gamma 90.00
_space_group_name_H-M_alt 'C m c m'
_space_group_IT_number 63
_space_group_name_Hall '-C 2c 2'
loop_
_atom_site_label
_atom_site_type_symbol
_atom_site_fract_x
_atom_site_fract_y
_atom_site_fract_z
Pm1 Pm 0.000 0.067 0.250
Pm2 Pm 0.000 0.312 0.250
Ga1 Ga 0.000 0.465 0.250
As1 As 0.000 0.188 0.250
```



*c*
First-principles (GGA-PBE) data for an optimized crystal structure of Pm2GaAs, as listed in the Alexandria database.

Cell and atoms, written as CIF:
```
data_Pm2GaAs
_chemical_formula_sum 'Pm6 Ga3 As3'
_cell_length_a 4.1163
_cell_length_b 4.1163
_cell_length_c 22.5175
_cell_angle_alpha 90.00
_cell_angle_beta 90.00
_cell_angle_gamma 120.00
_space_group_name_H-M_alt 'R -3 m'
_space_group_IT_number 166
_space_group_name_Hall '-R 3 2"'
loop_
_atom_site_label
_atom_site_type_symbol
_atom_site_fract_x
_atom_site_fract_y
_atom_site_fract_z
Pm1 Pm 0.0000 0.0000 0.2430
Ga1 Ga 0.0000 0.0000 0.0000
As1 As 0.0000 0.0000 0.5000
```



*d*
First-principles (GGA-PBE) data for an optimized crystal structure of Pm2GaAs, as listed in the Alexandria database.

Cell and atoms, written as CIF:
```
data_Pm2GaAs
_chemical_formula_sum 'Pm2 Ga1 As1'
_cell_length_a 3.801
_cell_length_b 3.801
_cell_length_c 6.783
_cell_angle_alpha 90.00
_cell_angle_beta 90.00
_cell_angle_gamma 90.00
_space_group_name_H-M_alt 'P 4/m m m'
_space_group_IT_number 123
_space_group_name_Hall '-P 4 2'
loop_
_atom_site_label
_atom_site_type_symbol
_atom_site_fract_x
_atom_site_fract_y
_atom_site_fract_z
Pm1 Pm 0.000 0.000 0.240
Ga1 Ga 0.500 0.500 0.500
As1 As 0.500 0.500 0.000
```



Most stable structure - *b*; separation to the second - 0.107 eV/atom.



*a*
First-principles (GGA-PBE) data for an optimized crystal structure of PmGaAs, as listed in the Alexandria database.

Cell and atoms, written as CIF:
```
data_PmGaAs
_chemical_formula_sum 'Pm2 Ga2 As2'
_cell_length_a 3.603
_cell_length_b 3.603
_cell_length_c 10.262
_cell_angle_alpha 90.00
_cell_angle_beta 90.00
_cell_angle_gamma 90.00
_space_group_name_H-M_alt 'I 4 m m'
_space_group_IT_number 107
_space_group_name_Hall 'I 4 -2'
loop_
_atom_site_label
_atom_site_type_symbol
_atom_site_fract_x
_atom_site_fract_y
_atom_site_fract_z
Pm1 Pm 0.000 0.000 0.000
Ga1 Ga 0.000 0.000 0.698
As1 As 0.000 0.000 0.309
```



*b*
First-principles (GGA-PBE) data for an optimized crystal structure of PmGaAs, as listed in the Alexandria database.

Cell and atoms, written as CIF:
```
data_PmGaAs
_chemical_formula_sum 'Pm6 Ga6 As6'
_cell_length_a 4.8406
_cell_length_b 4.8406
_cell_length_c 23.7929
_cell_angle_alpha 90.00
_cell_angle_beta 90.00
_cell_angle_gamma 120.00
_space_group_name_H-M_alt 'R -3 m'
_space_group_IT_number 166
_space_group_name_Hall '-R 3 2"'
loop_
_atom_site_label
_atom_site_type_symbol
_atom_site_fract_x
_atom_site_fract_y
_atom_site_fract_z
Pm1 Pm 0.0000 0.0000 0.0922
Ga1 Ga 0.0000 0.0000 0.3249
As1 As 0.0000 0.0000 0.2175
```



Most stable structure - *b*; separation to the second - 0.166 eV/atom.



*a*
First-principles (GGA-PBE) data for an optimized crystal structure of PuGaAs, as listed in the Alexandria database.

Cell and atoms, written as CIF:
```
data_PuGaAs
_chemical_formula_sum 'Pu4 Ga4 As4'
_cell_length_a 3.825
_cell_length_b 16.161
_cell_length_c 4.387
_cell_angle_alpha 90.00
_cell_angle_beta 90.00
_cell_angle_gamma 90.00
_space_group_name_H-M_alt 'C m c m'
_space_group_IT_number 63
_space_group_name_Hall '-C 2c 2'
loop_
_atom_site_label
_atom_site_type_symbol
_atom_site_fract_x
_atom_site_fract_y
_atom_site_fract_z
Pu1 Pu 0.000 0.141 0.250
Ga1 Ga 0.000 0.469 0.250
As1 As 0.000 0.320 0.250
```



*b*
First-principles (GGA-PBE) data for an optimized crystal structure of PuGaAs, as listed in the Alexandria database.

Cell and atoms, written as CIF:
```
data_PuGaAs
_chemical_formula_sum 'Pu1 Ga1 As1'
_cell_length_a 4.4438
_cell_length_b 4.4438
_cell_length_c 3.7612
_cell_angle_alpha 90.00
_cell_angle_beta 90.00
_cell_angle_gamma 120.00
_space_group_name_H-M_alt 'P -6 m 2'
_space_group_IT_number 187
_space_group_name_Hall 'P -6 2'
loop_
_atom_site_label
_atom_site_type_symbol
_atom_site_fract_x
_atom_site_fract_y
_atom_site_fract_z
Pu1 Pu 0.0000 0.0000 0.0000
Ga1 Ga 0.6667 0.3333 0.5000
As1 As 0.3333 0.6667 0.5000
```



Most stable structure - *a*; separation to the second - 0.122 eV/atom.



*a*
First-principles (GGA-PBE) data for an optimized crystal structure of Pu2GaAs, as listed in the Alexandria database.

Cell and atoms, written as CIF:
```
data_Pu2GaAs
_chemical_formula_sum 'Pu2 Ga1 As1'
_cell_length_a 4.654
_cell_length_b 4.654
_cell_length_c 4.074
_cell_angle_alpha 90.00
_cell_angle_beta 90.00
_cell_angle_gamma 90.00
_space_group_name_H-M_alt 'P 4/m m m'
_space_group_IT_number 123
_space_group_name_Hall '-P 4 2'
loop_
_atom_site_label
_atom_site_type_symbol
_atom_site_fract_x
_atom_site_fract_y
_atom_site_fract_z
Pu1 Pu 0.000 0.500 0.000
Ga1 Ga 0.000 0.000 0.500
As1 As 0.500 0.500 0.500
```



*b*
First-principles (GGA-PBE) data for an optimized crystal structure of Pu2GaAs, as listed in the Alexandria database.

Cell and atoms, written as CIF:
```
data_Pu2GaAs
_chemical_formula_sum 'Pu6 Ga3 As3'
_cell_length_a 3.9928
_cell_length_b 3.9928
_cell_length_c 22.7094
_cell_angle_alpha 90.00
_cell_angle_beta 90.00
_cell_angle_gamma 120.00
_space_group_name_H-M_alt 'R -3 m'
_space_group_IT_number 166
_space_group_name_Hall '-R 3 2"'
loop_
_atom_site_label
_atom_site_type_symbol
_atom_site_fract_x
_atom_site_fract_y
_atom_site_fract_z
Pu1 Pu 0.0000 0.0000 0.2438
Ga1 Ga 0.0000 0.0000 0.0000
As1 As 0.0000 0.0000 0.5000
```



Most stable structure - *a*; separation to the second - 0.149 eV/atom.



*a*
First-principles (GGA-PBE) data for an optimized crystal structure of RbGa2As2, as listed in the Alexandria database.

Cell and atoms, written as CIF:
```
data_RbGa2As2
_chemical_formula_sum 'Rb2 Ga4 As4'
_cell_length_a 8.306
_cell_length_b 8.306
_cell_length_c 3.405
_cell_angle_alpha 90.00
_cell_angle_beta 90.00
_cell_angle_gamma 90.00
_space_group_name_H-M_alt 'P 4/m b m'
_space_group_IT_number 127
_space_group_name_Hall '-P 4 2ab'
loop_
_atom_site_label
_atom_site_type_symbol
_atom_site_fract_x
_atom_site_fract_y
_atom_site_fract_z
Rb1 Rb 0.000 0.000 0.000
Ga1 Ga 0.125 0.375 0.000
As1 As 0.155 0.655 0.500
```



*b*
First-principles (GGA-PBE) data for an optimized crystal structure of RbGa2As2, as listed in the Alexandria database.

Cell and atoms, written as CIF:
```
data_RbGa2As2
_chemical_formula_sum 'Rb2 Ga4 As4'
_cell_length_a 8.714
_cell_length_b 8.714
_cell_length_c 3.700
_cell_angle_alpha 90.00
_cell_angle_beta 90.00
_cell_angle_gamma 90.00
_space_group_name_H-M_alt 'P 4/m b m'
_space_group_IT_number 127
_space_group_name_Hall '-P 4 2ab'
loop_
_atom_site_label
_atom_site_type_symbol
_atom_site_fract_x
_atom_site_fract_y
_atom_site_fract_z
Rb1 Rb 0.000 0.000 0.000
Ga1 Ga 0.131 0.369 0.500
As1 As 0.104 0.604 0.000
```



*c*
First-principles (GGA-PBE) data for an optimized crystal structure of RbGa2As2, as listed in the Alexandria database.

Cell and atoms, written as CIF:
```
data_RbGa2As2
_chemical_formula_sum 'Rb2 Ga4 As4'
_cell_length_a 4.860
_cell_length_b 4.860
_cell_length_c 10.096
_cell_angle_alpha 90.00
_cell_angle_beta 90.00
_cell_angle_gamma 90.00
_space_group_name_H-M_alt 'I 4/m m m'
_space_group_IT_number 139
_space_group_name_Hall '-I 4 2'
loop_
_atom_site_label
_atom_site_type_symbol
_atom_site_fract_x
_atom_site_fract_y
_atom_site_fract_z
Rb1 Rb 0.000 0.000 0.000
Ga1 Ga 0.000 0.000 0.369
As1 As 0.000 0.500 0.250
```



*d*
First-principles (GGA-PBE) data for an optimized crystal structure of RbGa2As2, as listed in the Alexandria database.

Cell and atoms, written as CIF:
```
data_RbGa2As2
_chemical_formula_sum 'Rb1 Ga2 As2'
_cell_length_a 3.957
_cell_length_b 3.957
_cell_length_c 8.373
_cell_angle_alpha 90.00
_cell_angle_beta 90.00
_cell_angle_gamma 90.00
_space_group_name_H-M_alt 'P 4/m m m'
_space_group_IT_number 123
_space_group_name_Hall '-P 4 2'
loop_
_atom_site_label
_atom_site_type_symbol
_atom_site_fract_x
_atom_site_fract_y
_atom_site_fract_z
Rb1 Rb 0.000 0.000 0.000
Ga1 Ga 0.000 0.500 0.500
As1 As 0.500 0.500 0.282
```



Most stable structure - *c*; separation to the second - 0.138 eV/atom.



*a*
First-principles (GGA-PBE) data for an optimized crystal structure of Rb2GaAs2, as listed in the Alexandria database.

Cell and atoms, written as CIF:
```
data_Rb2GaAs2
_chemical_formula_sum 'Rb8 Ga4 As8'
_cell_length_a 11.899
_cell_length_b 7.261
_cell_length_c 7.497
_cell_angle_alpha 90.00
_cell_angle_beta 99.77
_cell_angle_gamma 90.00
_space_group_name_H-M_alt 'C 1 2/c 1'
_space_group_IT_number 15
_space_group_name_Hall '-C 2yc'
loop_
_atom_site_label
_atom_site_type_symbol
_atom_site_fract_x
_atom_site_fract_y
_atom_site_fract_z
Rb1 Rb 0.152 0.122 0.125
Ga1 Ga 0.000 0.479 0.750
As1 As 0.118 0.360 0.520
```



*b*
First-principles (GGA-PBE) data for an optimized crystal structure of Rb2GaAs2, as listed in the Alexandria database.

Cell and atoms, written as CIF:
```
data_Rb2GaAs2
_chemical_formula_sum 'Rb4 Ga2 As4'
_cell_length_a 5.254
_cell_length_b 5.254
_cell_length_c 13.542
_cell_angle_alpha 90.00
_cell_angle_beta 90.00
_cell_angle_gamma 90.00
_space_group_name_H-M_alt 'I 4/m m m'
_space_group_IT_number 139
_space_group_name_Hall '-I 4 2'
loop_
_atom_site_label
_atom_site_type_symbol
_atom_site_fract_x
_atom_site_fract_y
_atom_site_fract_z
Rb1 Rb 0.000 0.500 0.250
Ga1 Ga 0.000 0.000 0.000
As1 As 0.000 0.000 0.415
```



Most stable structure - *a*; separation to the second - 0.469 eV/atom.